Compound: Li2HgPt
Source: the Alexandria database
Functional: PBEsol
Structure: optimized geometry

a b c (Å): 4.467 4.467 4.467
angles (deg): 60.00 60.00 60.00
Sites, in units of the cell vectors:
Li  0.000  0.000  0.000
Li  0.250  0.250  0.250
Hg  0.500  0.500  0.500
Pt  0.750  0.750  0.750

Output
Fermi-level density of states = 1.108 states/eV per cell
Crystal system = cubic
Uncorrected energy = -3.2883 eV/atom
Magnetization = 0.0 μB/f.u.